[1]
# Dy3ScGe2C

A relaxed structure of Dy3ScGe2C (PBE, the Alexandria database).

The structure in POSCAR format:
```
Dy3ScGe2C
1.0
-3.040 -2.238 2.339
2.599 0.473 3.830
-3.338 7.400 -1.474
Dy C Sc Ge
3 1 1 2
Direct
0.166 0.166 0.333
0.000 0.500 0.000
0.834 0.834 0.667
0.000 0.000 0.000
0.500 0.000 0.000
0.636 0.636 0.273
0.364 0.364 0.727
```

Calculated volume (Å³ per atom): 22.43
ρ (g cm⁻³): 7.3
Energy relative to the elements (kcal/mol of atoms): -16.90
Space group: Immm (71)
Calculated total energy (eV for the cell shown): -43.73



[2]
# PaMnGe2Os

A relaxed structure of PaMnGe2Os (PBE, the Alexandria database).

The structure in POSCAR format:
```
PaMnGe2Os
1.0
4.077 0.000 0.000
0.000 4.077 0.000
-2.038 -2.038 5.233
Os Pa Mn Ge
1 1 1 2
Direct
0.250 0.750 0.500
0.000 0.000 0.000
0.750 0.250 0.500
0.382 0.382 0.763
0.618 0.618 0.237
```

Calculated volume (Å³ per atom): 17.40
ρ (g cm⁻³): 11.9
Energy relative to the elements (kcal/mol of atoms): -7.46
Space group: I-4m2 (119)
Calculated total energy (eV for the cell shown): -40.75



[3]
# Na3TbBr6

A relaxed structure of Na3TbBr6 (PBE, the Alexandria database).

The structure in POSCAR format:
```
Na3TbBr6
1.0
7.780 0.000 0.000
0.000 7.322 0.004
0.000 7.183 10.910
Tb Br Na
2 12 6
Direct
0.000 0.000 0.000
0.500 0.000 0.500
0.804 0.746 0.584
0.819 0.380 0.936
0.181 0.620 0.064
0.304 0.254 0.916
0.432 0.906 0.738
0.932 0.094 0.762
0.681 0.380 0.436
0.319 0.620 0.564
0.196 0.254 0.416
0.568 0.094 0.262
0.696 0.746 0.084
0.068 0.906 0.238
0.082 0.706 0.766
0.000 0.500 0.500
0.918 0.294 0.234
0.582 0.294 0.734
0.500 0.500 0.000
0.418 0.706 0.266
```

Energy relative to the elements, uncorrected (kJ/mol of atoms): -161.75
Calculated volume (Å³ per atom): 31.06
ρ (g cm⁻³): 3.8
Space group: P2_1/c (14)
Calculated total energy (eV for the cell shown): -70.78



[4]
# ThBi2AuN

A relaxed structure of ThBi2AuN (PBE, the Alexandria database).

The structure in POSCAR format:
```
ThBi2AuN
1.0
4.107 0.000 0.000
0.000 4.107 0.000
0.000 0.000 15.983
Th Bi N Au
2 4 2 2
Direct
0.500 0.000 0.571
0.000 0.500 0.429
0.000 0.500 0.717
0.000 0.500 0.071
0.500 0.000 0.283
0.500 0.000 0.929
0.500 0.500 0.500
0.000 0.000 0.500
0.000 0.500 0.890
0.500 0.000 0.110
```

Energy relative to the elements, uncorrected (kJ/mol of atoms): -67.84
Calculated volume (Å³ per atom): 26.96
ρ (g cm⁻³): 10.6
Space group: P4/nmm (129)
Calculated total energy (eV for the cell shown): -60.60



[5]
# K3PaZn2O6

A relaxed structure of K3PaZn2O6 (PBE, the Alexandria database).

The structure in POSCAR format:
```
K3PaZn2O6
1.0
6.216 0.000 0.000
-3.108 5.384 0.000
0.000 0.000 7.098
O Pa K Zn
6 1 3 2
Direct
0.841 0.159 0.693
0.159 0.318 0.307
0.318 0.159 0.693
0.682 0.841 0.307
0.159 0.841 0.307
0.841 0.682 0.693
0.000 0.000 0.500
0.667 0.333 0.270
0.000 0.000 0.000
0.333 0.667 0.730
0.667 0.333 0.708
0.333 0.667 0.292
```

Energy relative to the elements, uncorrected (kJ/mol of atoms): -198.58
Calculated volume (Å³ per atom): 19.79
ρ (g cm⁻³): 4.0
Space group: P-3m1 (164)
Calculated total energy (eV for the cell shown): -69.78



[6]
# NaHfCr3

A relaxed structure of NaHfCr3 (PBE, the Alexandria database).

The structure in POSCAR format:
```
NaHfCr3
1.0
-4.674 1.213 -1.195
-1.186 -4.824 -0.258
-1.222 0.042 4.822
Cr Na Hf
3 1 1
Direct
0.000 0.000 0.500
0.000 0.500 0.000
0.500 0.000 0.000
0.500 0.500 0.500
0.000 0.000 0.000
```

ΔE to the lowest computed polymorph (meV/atom): 0
Calculated volume (Å³ per atom): 24.62
ρ (g cm⁻³): 4.8
Energy relative to the elements (kcal/mol of atoms): 36.08
Space group: Pm-3m (221)
Calculated total energy (eV for the cell shown): -32.32



[7]
# Si2Tc

A relaxed structure of Si2Tc (PBE, the Alexandria database).

The structure in POSCAR format:
```
Si2Tc
1.0
1.545 4.315 0.033
-1.545 4.315 0.033
0.000 1.305 6.246
Tc Si
2 4
Direct
0.272 0.272 0.992
0.978 0.978 0.561
0.996 0.996 0.953
0.684 0.684 0.695
0.599 0.599 0.253
0.304 0.304 0.380
```

Energy relative to the elements, uncorrected (kJ/mol of atoms): -15.78
ΔE to the lowest computed polymorph (meV/atom): 229
Calculated volume (Å³ per atom): 13.86
ρ (g cm⁻³): 6.2
Space group: Cm (8)
Calculated total energy (eV for the cell shown): -43.41



[8]
# FeCuRuPt

A relaxed structure of FeCuRuPt (PBE, the Alexandria database).

The structure in POSCAR format:
```
FeCuRuPt
1.0
-3.101 -2.823 -0.653
-0.889 -1.302 -3.940
0.952 -3.961 -1.191
Pt Fe Cu Ru
1 1 1 1
Direct
0.250 0.250 0.250
0.000 0.000 0.000
0.500 0.500 0.500
0.750 0.750 0.750
```

Calculated volume (Å³ per atom): 13.52
ρ (g cm⁻³): 12.8
Energy relative to the elements (kcal/mol of atoms): 1.48
Space group: F-43m (216)
Calculated total energy (eV for the cell shown): -27.62



[9]
# Pm3CuSi3

A relaxed structure of Pm3CuSi3 (PBE, the Alexandria database).

The structure in POSCAR format:
```
Pm3CuSi3
1.0
5.911 0.000 0.000
0.000 8.560 0.000
0.000 -4.280 7.413
Pm Cu Si
6 2 6
Direct
0.250 0.634 0.931
0.750 0.366 0.069
0.250 0.296 0.366
0.750 0.931 0.296
0.750 0.704 0.634
0.250 0.069 0.704
0.250 0.667 0.333
0.750 0.333 0.667
0.250 0.928 0.310
0.250 0.690 0.618
0.750 0.072 0.690
0.750 0.310 0.382
0.250 0.382 0.072
0.750 0.618 0.928
```

Energy relative to the elements, uncorrected (kJ/mol of atoms): -29.81
ΔE to the lowest computed polymorph (meV/atom): 383
Calculated volume (Å³ per atom): 26.79
ρ (g cm⁻³): 5.2
Space group: P6_3/m (176)
Calculated total energy (eV for the cell shown): -73.56



[10]
# ZnAg2Pt

A relaxed structure of ZnAg2Pt (PBE, the Alexandria database).

The structure in POSCAR format:
```
ZnAg2Pt
1.0
2.860 0.000 0.000
0.000 2.860 0.000
0.000 0.000 7.959
Ag Zn Pt
2 1 1
Direct
0.000 0.000 0.992
0.000 0.000 0.508
0.500 0.500 0.750
0.500 0.500 0.250
```

Calculated volume (Å³ per atom): 16.27
ρ (g cm⁻³): 12.2
Energy relative to the elements (kcal/mol of atoms): -0.29
Space group: P4/mmm (123)
Calculated total energy (eV for the cell shown): -13.07



[11]
# ErThHgRu

A relaxed structure of ErThHgRu (PBE, the Alexandria database).

The structure in POSCAR format:
```
ErThHgRu
1.0
-5.097 -0.158 0.484
-2.118 -2.323 4.044
-2.316 2.778 3.627
Er Ru Hg Th
1 1 1 1
Direct
0.000 0.000 0.000
0.750 0.750 0.750
0.250 0.250 0.250
0.500 0.500 0.500
```

Calculated volume (Å³ per atom): 23.76
ρ (g cm⁻³): 12.2
Energy relative to the elements (kcal/mol of atoms): -6.79
Space group: F-43m (216)
Calculated total energy (eV for the cell shown): -22.74



[12]
# HfBO2

A relaxed structure of HfBO2 (PBE, the Alexandria database).

The structure in POSCAR format:
```
HfBO2
1.0
1.689 0.000 5.829
-0.844 1.462 5.829
-0.844 -1.462 5.829
Hf O B
1 2 1
Direct
0.500 0.500 0.500
0.077 0.077 0.077
0.923 0.923 0.923
0.000 0.000 0.000
```

Energy relative to the elements, uncorrected (kJ/mol of atoms): -139.20
Calculated volume (Å³ per atom): 10.80
ρ (g cm⁻³): 8.5
Space group: R-3m (166)
Calculated total energy (eV for the cell shown): -32.32



[13]
# LiRe2RuI

A relaxed structure of LiRe2RuI (PBE, the Alexandria database).

The structure in POSCAR format:
```
LiRe2RuI
1.0
-1.700 2.331 -3.889
1.482 -3.233 -2.586
-4.230 -2.310 0.465
I Re Li Ru
1 2 1 1
Direct
0.000 0.000 0.000
0.000 0.000 0.500
0.500 0.000 0.000
0.000 0.500 0.000
0.500 0.500 0.500
```

Energy relative to the elements, uncorrected (kJ/mol of atoms): 231.84
Calculated volume (Å³ per atom): 20.62
ρ (g cm⁻³): 9.8
Space group: P4/mmm (123)
Calculated total energy (eV for the cell shown): -25.62